LiEr2PuTl4: optimized geometry, GGA-PBE.

The space group is R-3m (No. 166, hexagonal axes) and the conventional cell measures 5.2530, 5.2530 and 26.3426 Å, with angles of 90.00, 90.00 and 120.00 degrees. The inequivalent atoms are Li at (0.0000, 0.0000, 0.0000), Er at (0.0000, 0.0000, 0.2517), Pu at (0.0000, 0.0000, 0.5000), Tl at (0.0000, 0.0000, 0.1210) and Tl at (0.0000, 0.0000, 0.3718).

The spin magnetization comes out at 18.78 μB per cell. The value obtained for the volume is 629.5 Å³ per cell. The energy of formation from the pure elements is -156 kJ/mol of formula units. The crystal system is trigonal.